Record 1
# Li2AuBr, optimized geometry, DFT GGA-PBE
# offset from the most stable computed form: 144 meV/atom
# electronic total energy: -2.91 eV/atom
# magnetization: 0.00 μB/f.u.
data_Li2AuBr
_cell_length_a 5.419
_cell_length_b 5.419
_cell_length_c 5.419
_cell_angle_alpha 139.62
_cell_angle_beta 98.44
_cell_angle_gamma 95.25
_space_group_name_H-M_alt 'P 1'
_space_group_IT_number 1
_space_group_name_Hall 'P 1'
loop_
_atom_site_label
_atom_site_fract_x
_atom_site_fract_y
_atom_site_fract_z
_atom_site_occupancy
Li1 0.239 0.239 0.000 1
Li2 0.761 0.761 0.000 1
Au1 0.500 0.000 0.500 1
Br1 0.000 0.500 0.500 1

***

Record 2
# Li3Au5Br12, optimized geometry, DFT GGA-PBE
# electronic total energy: -2.52 eV/atom
# magnetization: 0.00 μB/f.u.
data_Li3Au5Br12
_cell_length_a 14.842
_cell_length_b 14.842
_cell_length_c 14.842
_cell_angle_alpha 109.47
_cell_angle_beta 109.47
_cell_angle_gamma 109.47
_space_group_name_H-M_alt 'P 1'
_space_group_IT_number 1
_space_group_name_Hall 'P 1'
loop_
_atom_site_label
_atom_site_fract_x
_atom_site_fract_y
_atom_site_fract_z
_atom_site_occupancy
Li1 0.125 0.250 0.375 1
Li2 0.125 0.375 0.750 1
Li3 0.250 0.375 0.125 1
Li4 0.250 0.875 0.625 1
Li5 0.375 0.125 0.250 1
Li6 0.375 0.750 0.125 1
Li7 0.625 0.250 0.875 1
Li8 0.625 0.875 0.750 1
Li9 0.750 0.125 0.375 1
Li10 0.750 0.625 0.875 1
Li11 0.875 0.625 0.250 1
Li12 0.875 0.750 0.625 1
Au1 0.000 0.000 0.000 1
Au2 0.000 0.000 0.500 1
Au3 0.000 0.500 0.000 1
Au4 0.000 0.500 0.500 1
Au5 0.125 0.750 0.875 1
Au6 0.125 0.875 0.250 1
Au7 0.250 0.125 0.875 1
Au8 0.250 0.625 0.375 1
Au9 0.375 0.250 0.625 1
Au10 0.375 0.625 0.750 1
Au11 0.500 0.000 0.000 1
Au12 0.500 0.000 0.500 1
Au13 0.500 0.500 0.000 1
Au14 0.500 0.500 0.500 1
Au15 0.625 0.375 0.250 1
Au16 0.625 0.750 0.375 1
Au17 0.750 0.375 0.625 1
Au18 0.750 0.875 0.125 1
Au19 0.875 0.125 0.750 1
Au20 0.875 0.250 0.125 1
Br1 0.009 0.168 0.155 1
Br2 0.009 0.342 0.854 1
Br3 0.013 0.668 0.658 1
Br4 0.013 0.845 0.354 1
Br5 0.146 0.655 0.487 1
Br6 0.146 0.991 0.658 1
Br7 0.155 0.009 0.168 1
Br8 0.155 0.646 0.987 1
Br9 0.158 0.168 0.513 1
Br10 0.158 0.491 0.646 1
Br11 0.168 0.155 0.009 1
Br12 0.168 0.513 0.158 1
Br13 0.332 0.342 0.987 1
Br14 0.332 0.491 0.345 1
Br15 0.342 0.854 0.009 1
Br16 0.342 0.987 0.332 1
Br17 0.345 0.332 0.491 1
Br18 0.345 0.513 0.854 1
Br19 0.354 0.013 0.845 1
Br20 0.354 0.842 0.509 1
Br21 0.487 0.146 0.655 1
Br22 0.487 0.842 0.832 1
Br23 0.491 0.345 0.332 1
Br24 0.491 0.646 0.158 1
Br25 0.509 0.354 0.842 1
Br26 0.509 0.655 0.668 1
Br27 0.513 0.158 0.168 1
Br28 0.513 0.854 0.345 1
Br29 0.646 0.158 0.491 1
Br30 0.646 0.987 0.155 1
Br31 0.655 0.487 0.146 1
Br32 0.655 0.668 0.509 1
Br33 0.658 0.013 0.668 1
Br34 0.658 0.146 0.991 1
Br35 0.668 0.509 0.655 1
Br36 0.668 0.658 0.013 1
Br37 0.832 0.487 0.842 1
Br38 0.832 0.845 0.991 1
Br39 0.842 0.509 0.354 1
Br40 0.842 0.832 0.487 1
Br41 0.845 0.354 0.013 1
Br42 0.845 0.991 0.832 1
Br43 0.854 0.009 0.342 1
Br44 0.854 0.345 0.513 1
Br45 0.987 0.155 0.646 1
Br46 0.987 0.332 0.342 1
Br47 0.991 0.658 0.146 1
Br48 0.991 0.832 0.845 1

***

Record 3
# Li2AuBr, optimized geometry, DFT GGA-PBE
# offset from the most stable computed form: 128 meV/atom
# electronic total energy: -2.93 eV/atom
# magnetization: 0.00 μB/f.u.
data_Li2AuBr
_cell_length_a 3.408
_cell_length_b 4.207
_cell_length_c 5.563
_cell_angle_alpha 90.00
_cell_angle_beta 90.00
_cell_angle_gamma 90.00
_space_group_name_H-M_alt 'P 1'
_space_group_IT_number 1
_space_group_name_Hall 'P 1'
loop_
_atom_site_label
_atom_site_fract_x
_atom_site_fract_y
_atom_site_fract_z
_atom_site_occupancy
Li1 0.000 0.000 0.000 1
Li2 0.000 0.500 0.500 1
Au1 0.500 0.000 0.500 1
Br1 0.500 0.500 0.000 1

***

Sequential ΔE_f (raw) output: -0.719, -0.408, -0.734 eV/atom